Entry 1
V6Ga2Ir: relaxed, PBE.

abc: 2.666 6.446 7.429
angles: 101.51 90.09 96.07
Element x y z (fractional)
V1 0.057 0.162 0.272
V2 0.123 0.499 0.821
V3 0.286 0.843 0.400
V4 0.714 0.157 0.600
V5 0.877 0.501 0.179
V6 0.943 0.838 0.728
Ga1 0.469 0.184 0.942
Ga2 0.531 0.816 0.058
Ir1 0.500 0.500 0.500

Output
N(E_F): 8.04 states/eV per cell

Entry 2
V6Ga2Ir: relaxed, PBE.

abc: 5.168 5.168 6.611
angles: 114.47 114.47 56.85
Element x y z (fractional)
V1 0.167 0.684 0.789
V2 0.276 0.276 0.078
V3 0.316 0.833 0.211
V4 0.684 0.167 0.789
V5 0.724 0.724 0.922
V6 0.833 0.316 0.211
Ga1 0.145 0.145 0.647
Ga2 0.855 0.855 0.353
Ir1 0.500 0.500 0.500

Output
N(E_F): 12.00 states/eV per cell

Most stable structure: entry 1

Entry 1
V3GaIr: relaxed, PBE.

abc: 4.600 4.600 4.600
angles: 90.00 90.00 90.00
Element x y z (fractional)
V1 0.000 0.000 0.500
V2 0.000 0.500 0.000
V3 0.500 0.000 0.000
Ga1 0.500 0.500 0.500
Ir1 0.000 0.000 0.000

Output
N(E_F): 7.05 states/eV per cell

Entry 2
V3GaIr: relaxed, PBE.

abc: 4.386 4.386 4.386
angles: 90.00 90.00 90.00
Element x y z (fractional)
V1 0.000 0.000 0.500
V2 0.000 0.500 0.000
V3 0.500 0.000 0.000
Ga1 0.000 0.000 0.000
Ir1 0.500 0.500 0.500

Output
N(E_F): 7.51 states/eV per cell

Entry 3
V3GaIr: relaxed, PBE.

abc: 4.979 5.074 6.540
angles: 79.74 69.54 63.07
Element x y z (fractional)
V1 0.000 0.000 0.000
V2 0.003 0.392 0.182
V3 0.009 0.608 0.788
V4 0.490 0.690 0.597
V5 0.498 0.311 0.387
V6 0.975 0.798 0.394
Ga1 0.498 0.881 0.201
Ga2 0.501 0.104 0.786
Ir1 0.007 0.202 0.584
Ir2 0.506 0.493 0.991

Output
N(E_F): 9.25 states/eV per cell

Most stable structure: entry 3

Entry 1
YGa3Ir: relaxed, PBE.

abc: 4.780 4.780 4.780
angles: 90.00 90.00 90.00
Element x y z (fractional)
Y1 0.000 0.000 0.000
Ga1 0.000 0.500 0.500
Ga2 0.500 0.000 0.500
Ga3 0.500 0.500 0.000
Ir1 0.500 0.500 0.500

Output
N(E_F): 6.31 states/eV per cell

Entry 2
YGa3Ir: relaxed, PBE.

abc: 6.665 4.239 6.867
angles: 90.00 104.85 90.00
Element x y z (fractional)
Y1 0.178 0.250 0.212
Y2 0.822 0.750 0.788
Ga1 0.097 0.250 0.691
Ga2 0.337 0.750 0.938
Ga3 0.486 0.250 0.656
Ga4 0.514 0.750 0.344
Ga5 0.663 0.250 0.062
Ga6 0.903 0.750 0.309
Ir1 0.260 0.750 0.560
Ir2 0.740 0.250 0.440

Output
N(E_F): 4.89 states/eV per cell

Most stable structure: entry 2

Entry 1
Y2Ga2Ir: relaxed, PBE.

abc: 6.951 6.951 4.242
angles: 90.00 90.00 90.00
Element x y z (fractional)
Y1 0.177 0.323 0.000
Y2 0.323 0.823 0.000
Y3 0.677 0.177 0.000
Y4 0.823 0.677 0.000
Ga1 0.130 0.630 0.500
Ga2 0.370 0.130 0.500
Ga3 0.630 0.870 0.500
Ga4 0.870 0.370 0.500
Ir1 0.000 0.000 0.500
Ir2 0.500 0.500 0.500

Output
N(E_F): 6.71 states/eV per cell

Entry 2
Y2Ga2Ir: relaxed, PBE.

abc: 5.800 5.800 10.620
angles: 113.98 113.98 41.93
Element x y z (fractional)
Y1 0.005 0.005 0.329
Y2 0.190 0.190 0.121
Y3 0.810 0.810 0.879
Y4 0.995 0.995 0.671
Ga1 0.350 0.350 0.448
Ga2 0.475 0.475 0.111
Ga3 0.525 0.525 0.889
Ga4 0.650 0.650 0.552
Ir1 0.283 0.283 0.665
Ir2 0.717 0.717 0.335

Output
N(E_F): 7.76 states/eV per cell

Most stable structure: entry 2